Record 1
DFT (PBE) results for crystalline Sn2BWC at its relaxed geometry.

The value obtained for the formation energy is 1.90 eV per atom. The value obtained for the density of states at the Fermi level is 1.043 states/eV per atom.

The structure belongs to space group P4/mmm (No. 123); the cell edges are 4.634, 4.634 and 4.146 Å and the angles 90.00°, 90.00° and 90.00°. The distinct sites, in fractional coordinates, are Sn at (0.000, 0.500, 0.000), B at (0.000, 0.000, 0.000), W at (0.000, 0.000, 0.500) and C at (0.500, 0.500, 0.500).



Record 2
DFT (PBE) results for crystalline BaY2TiAl at its relaxed geometry.

The value obtained for the formation energy is 0.30 eV per atom. Its relative energy among the computed polymorphs is 0.000 eV per atom. The value obtained for the density of states at the Fermi level is 0.747 states/eV per atom.

The structure belongs to space group P4/mmm (No. 123); the cell edges are 5.405, 5.405 and 5.398 Å and the angles 90.00°, 90.00° and 90.00°. The distinct sites, in fractional coordinates, are Ba at (0.000, 0.000, 0.000), Y at (0.000, 0.500, 0.500), Ti at (0.500, 0.500, 0.500) and Al at (0.500, 0.500, 0.000).



Record 3
DFT (PBE) results for crystalline Dy2PtSe at its relaxed geometry.

Its relative energy among the computed polymorphs is 0.069 eV per atom. Its uncorrected formation energy is -1.449 eV/atom. The value obtained for the density of states at the Fermi level is 0.214 states/eV per atom.

The structure belongs to space group R3m (No. 160, hexagonal axes); the cell edges are 4.0429, 4.0429 and 21.3198 Å and the angles 90.00°, 90.00° and 120.00°. The distinct sites, in fractional coordinates, are Dy at (0.0000, 0.0000, 0.0000), Dy at (0.0000, 0.0000, 0.1850), Pt at (0.0000, 0.0000, 0.5924) and Se at (0.0000, 0.0000, 0.4248).



Record 4
DFT (PBE) results for crystalline Ce4HoTh at its relaxed geometry.

The value obtained for the formation energy is 0.19 eV per atom. Its relative energy among the computed polymorphs is 0.099 eV per atom. The value obtained for the density of states at the Fermi level is 3.224 states/eV per atom.

The structure belongs to space group F-43m (No. 216); the cell edges are 8.839, 8.839 and 8.839 Å and the angles 90.00°, 90.00° and 90.00°. The distinct sites, in fractional coordinates, are Ce at (0.125, 0.125, 0.125), Ho at (0.250, 0.250, 0.750) and Th at (0.000, 0.000, 0.500).



Record 5
DFT (PBE) results for crystalline SnSbOF2 at its relaxed geometry.

Its relative energy among the computed polymorphs is 0.000 eV per atom. Its uncorrected formation energy is -1.185 eV/atom. The value obtained for the density of states at the Fermi level is 0.562 states/eV per atom.

The structure belongs to space group P4/mmm (No. 123); the cell edges are 4.600, 4.600 and 4.340 Å and the angles 90.00°, 90.00° and 90.00°. The distinct sites, in fractional coordinates, are Sn at (0.000, 0.000, 0.000), Sb at (0.500, 0.500, 0.500), O at (0.500, 0.500, 0.000) and F at (0.000, 0.500, 0.500).



Record 6
DFT (PBE) results for crystalline Ac5TlGe2 at its relaxed geometry.

The value obtained for the formation energy is -0.51 eV per atom. Its relative energy among the computed polymorphs is 0.000 eV per atom. The value obtained for the density of states at the Fermi level is 0.870 states/eV per atom.

The structure belongs to space group I4/mcm (No. 140); the cell edges are 8.614, 8.614 and 15.289 Å and the angles 90.00°, 90.00° and 90.00°. The distinct sites, in fractional coordinates, are Ac at (0.000, 0.000, 0.000), Ac at (0.163, 0.337, 0.140), Tl at (0.000, 0.000, 0.250) and Ge at (0.140, 0.360, 0.500).